Entry 1:
This record from Alexandria describes a geometry-optimized NdSn6 structure. The functional is PBE.

As for the raw total energy: -3.764 eV per atom. Its formation energy is 0.35 eV/atom. Its magnetic moment is 1.55 μB per cell. The crystal system is cubic.

It has space group Im-3m (No. 229), with a = 8.063 Å, b = 8.063 Å, c = 8.063 Å, α = 90.00°, β = 90.00° and γ = 90.00°. Symmetry generates all atoms from Nd at (0.000, 0.000, 0.000) and Sn at (0.000, 0.250, 0.500).

***

Entry 2:
This record from Alexandria describes a geometry-optimized YZnB structure. The functional is PBE.

As for the raw total energy: -5.025 eV per atom. Its formation energy is -0.22 eV/atom. Its magnetic moment is 0.00 μB per cell. The crystal system is monoclinic. The polymorph energy (0 for the lowest one) comes out at 0.1533 eV/atom.

It has space group C2/m (No. 12), with a = 10.274 Å, b = 3.640 Å, c = 6.526 Å, α = 90.00°, β = 128.47° and γ = 90.00°. Symmetry generates all atoms from Y at (0.073, 0.000, 0.331), Zn at (0.219, 0.500, 0.830) and B at (0.106, 0.500, 0.066).

***

Entry 3:
This record from Alexandria describes a geometry-optimized Sm4ThBi5 structure. The functional is PBE.

As for the raw total energy: -5.438 eV per atom. Its formation energy is -0.87 eV/atom. Its magnetic moment is 0.00 μB per cell. The crystal system is tetragonal. The polymorph energy (0 for the lowest one) comes out at 0.0000 eV/atom.

It has space group I4/m (No. 87), with a = 10.210 Å, b = 10.210 Å, c = 6.464 Å, α = 90.00°, β = 90.00° and γ = 90.00°. Symmetry generates all atoms from Sm at (0.100, 0.699, 0.000), Th at (0.000, 0.000, 0.500), Bi at (0.000, 0.000, 0.000) and Bi at (0.100, 0.699, 0.500).

***

Entry 4:
This record from Alexandria describes a geometry-optimized BaSrMgHg2 structure. The functional is PBE.

As for the raw total energy: -1.456 eV per atom. Its formation energy is -0.30 eV/atom. Its magnetic moment is 0.00 μB per cell. The crystal system is trigonal.

It has space group P3m1 (No. 156), with a = 4.7683 Å, b = 4.7683 Å, c = 9.6882 Å, α = 90.00°, β = 90.00° and γ = 120.00°. Symmetry generates all atoms from Ba at (0.0000, 0.0000, 0.0000), Sr at (0.6667, 0.3333, 0.4248), Mg at (0.3333, 0.6667, 0.6853), Hg at (0.3333, 0.6667, 0.2313) and Hg at (0.6667, 0.3333, 0.7702).

***

Entry 5:
This record from Alexandria describes a geometry-optimized CoSe2Br structure. The functional is PBE.

As for the raw total energy: -4.095 eV per atom. Its magnetic moment is 0.00 μB per cell. The calculation puts the formation energy from raw total energies at -0.158 eV per atom. The crystal system is orthorhombic. The polymorph energy (0 for the lowest one) comes out at 0.0479 eV/atom.

It has space group Pna2_1 (No. 33), with a = 6.383 Å, b = 8.767 Å, c = 6.352 Å, α = 90.00°, β = 90.00° and γ = 90.00°. Symmetry generates all atoms from Co at (0.022, 0.152, 0.000), Se at (0.186, 0.980, 0.749), Se at (0.192, 0.697, 0.726) and Br at (0.201, 0.335, 0.776).